Density functional theory data (PBE) for a relaxed structure of Sr2Zn3As2O2.

Values from the calculation:
crystal system: tetragonal
calculated total energy: -4.2316 eV per atom
mass density: 5718 kg/m³

a b c (Å): 4.123 4.123 18.904
angles (deg): 90.00 90.00 90.00
Space group I4/mmm (No. 139)
Inequivalent atoms, fractional coordinates:
Sr1 0.000 0.000 0.086 [4 per cell]
Zn1 0.000 0.000 0.500 [2 per cell]
Zn2 0.000 0.500 0.250 [4 per cell]
As1 0.000 0.000 0.332 [4 per cell]
O1 0.000 0.500 0.000 [4 per cell]



Density functional theory data (PBE) for a relaxed structure of LuTaCoB.

Values from the calculation:
crystal system: cubic
calculated total energy: -6.7363 eV per atom
magnetization: 0.107 μB/atom
mass density: 12098 kg/m³
excess energy over the best structure of this formula in the dataset: 0 meV per atom

a b c (Å): 6.160 6.160 6.160
angles (deg): 90.00 90.00 90.00
Space group F-43m (No. 216)
Inequivalent atoms, fractional coordinates:
Lu1 0.000 0.000 0.000 [4 per cell]
Ta1 0.250 0.250 0.750 [4 per cell]
Co1 0.000 0.000 0.500 [4 per cell]
B1 0.250 0.250 0.250 [4 per cell]



Density functional theory data (PBE) for a relaxed structure of Hf3Bi4Pt3.

Values from the calculation:
crystal system: cubic
calculated total energy: -6.8559 eV per atom
magnetization: 0.001 μB/atom
mass density: 14590 kg/m³

a b c (Å): 9.622 9.622 9.622
angles (deg): 90.00 90.00 90.00
Space group I-43d (No. 220)
Inequivalent atoms, fractional coordinates:
Hf1 0.000 0.250 0.375 [12 per cell]
Bi1 0.099 0.099 0.099 [16 per cell]
Pt1 0.000 0.250 0.875 [12 per cell]



Density functional theory data (PBE) for a relaxed structure of CdPd5Se.

Values from the calculation:
crystal system: tetragonal
calculated total energy: -4.6208 eV per atom
mass density: 10159 kg/m³

a b c (Å): 4.067 4.067 7.149
angles (deg): 90.00 90.00 90.00
Space group P4/mmm (No. 123)
Inequivalent atoms, fractional coordinates:
Cd1 0.000 0.000 0.000 [1 per cell]
Pd1 0.000 0.500 0.285 [4 per cell]
Pd2 0.500 0.500 0.000 [1 per cell]
Se1 0.500 0.500 0.500 [1 per cell]



Density functional theory data (PBE) for a relaxed structure of Ga4Tc.

Values from the calculation:
crystal system: cubic
calculated total energy: -4.7092 eV per atom
magnetization: 0.001 μB/atom
mass density: 6495 kg/m³

a b c (Å): 5.776 5.776 5.776
angles (deg): 90.00 90.00 90.00
Space group Im-3m (No. 229)
Inequivalent atoms, fractional coordinates:
Ga1 0.250 0.250 0.250 [8 per cell]
Tc1 0.000 0.000 0.000 [2 per cell]



Density functional theory data (PBE) for a relaxed structure of HfZnNiPd.

Values from the calculation:
crystal system: cubic
calculated total energy: -5.7911 eV per atom
magnetization: 0.002 μB/atom
ΔE_f: -0.3003 eV per atom
mass density: 11003 kg/m³
excess energy over the best structure of this formula in the dataset: 229 meV per atom

a b c (Å): 6.273 6.273 6.273
angles (deg): 90.00 90.00 90.00
Space group F-43m (No. 216)
Inequivalent atoms, fractional coordinates:
Hf1 0.000 0.000 0.000 [4 per cell]
Zn1 0.250 0.250 0.250 [4 per cell]
Ni1 0.000 0.000 0.500 [4 per cell]
Pd1 0.250 0.250 0.750 [4 per cell]



Density functional theory data (PBE) for a relaxed structure of LuCoSbOs.

Values from the calculation:
crystal system: cubic
calculated total energy: -6.8756 eV per atom
magnetization: 0.251 μB/atom
mass density: 13389 kg/m³
excess energy over the best structure of this formula in the dataset: 0 meV per atom

a b c (Å): 6.470 6.470 6.470
angles (deg): 90.00 90.00 90.00
Space group F-43m (No. 216)
Inequivalent atoms, fractional coordinates:
Lu1 0.000 0.000 0.000 [4 per cell]
Co1 0.250 0.250 0.750 [4 per cell]
Sb1 0.000 0.000 0.500 [4 per cell]
Os1 0.250 0.250 0.250 [4 per cell]



Density functional theory data (PBE) for a relaxed structure of TbGeAs.

Values from the calculation:
crystal system: cubic
calculated total energy: -4.8900 eV per atom
magnetization: 0.001 μB/atom
mass density: 6724 kg/m³

a b c (Å): 6.715 6.715 6.715
angles (deg): 90.00 90.00 90.00
Space group F-43m (No. 216)
Inequivalent atoms, fractional coordinates:
Tb1 0.000 0.000 0.000 [4 per cell]
Ge1 0.250 0.250 0.750 [4 per cell]
As1 0.000 0.000 0.500 [4 per cell]



- What is the mass density in the third record?
  14590 kg/m³